VASP calculation (PBE) on TmPaV4 after structural relaxation.

Geometry as extended XYZ:
```
6
Lattice="5.293 0.000 0.000 2.647 4.584 0.000 2.647 1.528 4.322" Properties=species:S:1:pos:R:3 pbc="T T T"
V 3.988 3.810 2.694
V 5.293 3.056 0.562
V 5.293 1.549 2.694
V 6.599 3.810 2.694
Tm 0.000 0.000 0.000
Pa 2.647 1.528 1.080
```

Total energy = -8.25 eV/atom
SG = No. 216
Energy of formation = 14.8 kJ per mole of atoms